# AcCeEuEr | Alexandria | GGA-PBE | optimized geometry
data_AcCeEuEr
_chemical_formula_sum 'Ac4 Ce4 Eu4 Er4'
_cell_length_a 8.4002
_cell_length_b 8.4002
_cell_length_c 8.4002
_cell_angle_alpha 90.00
_cell_angle_beta 90.00
_cell_angle_gamma 90.00
_symmetry_space_group_name_H-M 'F -4 3 m'
_symmetry_Int_Tables_number 216
_symmetry_space_group_name_Hall 'F -4 2 3'
loop_
_atom_site_label
_atom_site_fract_x
_atom_site_fract_y
_atom_site_fract_z
Ac1 0.0000 0.0000 0.0000
Ce1 0.2500 0.2500 0.2500
Eu1 0.2500 0.2500 0.7500
Er1 0.0000 0.0000 0.5000
# calculated total energy	-0.219	Ha/atom
# volume	37.05	Å³/atom
# calculated formation energy	0.252	eV/atom